No. 1
# GGA-PBE Cd3H12Pt5, optimized geometry
# - Calculated density: 10.58 g cm⁻³
# - Density of states at the Fermi level: 0.16 states/eV per atom
# - Calculated total energy: -70.7 eV/f.u.
data_Cd3H12Pt5
_cell_length_a 11.849
_cell_length_b 11.849
_cell_length_c 11.849
_cell_angle_alpha 90.00
_cell_angle_beta 90.00
_cell_angle_gamma 90.00
_symmetry_space_group_name_H-M 'I a -3 d'
_symmetry_Int_Tables_number 230
_symmetry_space_group_name_Hall '-I 4bd 2c 3'
loop_
_atom_site_label
_atom_site_type_symbol
_atom_site_fract_x
_atom_site_fract_y
_atom_site_fract_z
Cd1 Cd 0.000 0.250 0.125
H1 H 0.044 0.044 0.637
Pt1 Pt 0.000 0.000 0.000
Pt2 Pt 0.000 0.250 0.375

***

No. 2
# GGA-PBE BaBi3Pt, optimized geometry
# - Calculated density: 9.15 g cm⁻³
# - Offset from the most stable computed form: 1.222 eV/f.u.
# - Density of states at the Fermi level: 1.08 states/eV per atom
# - E_form: -0.24 eV/atom
data_BaBi3Pt
_cell_length_a 5.583
_cell_length_b 5.583
_cell_length_c 5.583
_cell_angle_alpha 90.00
_cell_angle_beta 90.00
_cell_angle_gamma 90.00
_symmetry_space_group_name_H-M 'P m -3 m'
_symmetry_Int_Tables_number 221
_symmetry_space_group_name_Hall '-P 4 2 3'
loop_
_atom_site_label
_atom_site_type_symbol
_atom_site_fract_x
_atom_site_fract_y
_atom_site_fract_z
Ba1 Ba 0.000 0.000 0.000
Bi1 Bi 0.000 0.500 0.500
Pt1 Pt 0.500 0.500 0.500

***

No. 3
# GGA-PBE Zn2CrPt, optimized geometry
# - Calculated density: 10.24 g cm⁻³
# - Density of states at the Fermi level: 1.23 states/eV per atom
# - E_form: 0.40 eV/atom
data_Zn2CrPt
_cell_length_a 6.926
_cell_length_b 6.926
_cell_length_c 5.110
_cell_angle_alpha 90.00
_cell_angle_beta 90.00
_cell_angle_gamma 90.00
_symmetry_space_group_name_H-M 'I -4 2 d'
_symmetry_Int_Tables_number 122
_symmetry_space_group_name_Hall 'I -4 2bw'
loop_
_atom_site_label
_atom_site_type_symbol
_atom_site_fract_x
_atom_site_fract_y
_atom_site_fract_z
Zn1 Zn 0.249 0.750 0.125
Cr1 Cr 0.000 0.000 0.000
Pt1 Pt 0.000 0.000 0.500